The following is a PBE calculation of an optimized crystal structure of NaHf4Br7, from Alexandria.

Cell: 3.5398 10.0334 21.5111 Å, 90.00 90.00 90.00°
Positions (direct):
Br (0.0129, 0.3205, 0.2485)
Br (0.5129, 0.1350, 0.8906)
Br (0.5129, 0.6795, 0.2515)
Br (0.0129, 0.8650, 0.3906)
Br (0.0129, 0.1167, 0.5000)
Br (0.0129, 0.6724, 0.8954)
Br (0.5129, 0.8833, 0.0000)
Br (0.0129, 0.8650, 0.6094)
Br (0.5129, 0.6795, 0.7485)
Br (0.5129, 0.3276, 0.6046)
Br (0.0129, 0.3205, 0.7515)
Br (0.0129, 0.6724, 0.1046)
Br (0.5129, 0.1350, 0.1094)
Br (0.5129, 0.3276, 0.3954)
Hf (0.0129, 0.8851, 0.7375)
Hf (0.0129, 0.1371, 0.6429)
Hf (0.5129, 0.1149, 0.2375)
Hf (0.5129, 0.1149, 0.7625)
Hf (0.5129, 0.8629, 0.1429)
Hf (0.0129, 0.8851, 0.2625)
Hf (0.0129, 0.1371, 0.3571)
Hf (0.5129, 0.8629, 0.8571)
Na (0.0128, 0.1021, 0.0000)
Na (0.5128, 0.8979, 0.5000)

Properties
- E: -128.1 eV for the cell shown
- Formation energy without anion corrections: -11.216 eV/f.u.
- Fermi-level density of states: 0.545 states/eV per atom



The following is a PBE calculation of an optimized crystal structure of Na3HfBr, from Alexandria.

Cell: 5.5675 5.5675 5.5675 Å, 90.00 90.00 90.00°
Site moments in Bohr magnetons follow the coordinates.
Positions (direct):
Na (0.0000, 0.5000, 0.0000)  0.03
Na (0.5000, 0.0000, 0.0000)  0.02
Na (0.0000, 0.0000, 0.5000)  0.04
Hf (0.5000, 0.5000, 0.5000)  1.47
Br (0.0000, 0.0000, 0.0000)  0.08

Properties
- E: -13.4 eV for the cell shown
- Formation energy without anion corrections: 2.149 eV/f.u.
- Fermi-level density of states: 1.916 states/eV per atom



The following is a PBE calculation of an optimized crystal structure of NaHf2Br, from Alexandria.

Cell: 4.0263 4.0263 12.9506 Å, 81.06 81.06 90.00°
Positions (direct):
Hf (0.8750, 0.8779, 0.7500)
Hf (0.3750, 0.3721, 0.7500)
Hf (0.6279, 0.1250, 0.2500)
Hf (0.1221, 0.6250, 0.2500)
Br (0.7500, 0.2500, 0.5000)
Br (0.0000, 0.0000, 0.0000)
Na (0.5000, 0.5000, 0.0000)
Na (0.2500, 0.7500, 0.5000)

Properties
- E: -42.7 eV for the cell shown
- Formation energy without anion corrections: 1.529 eV/f.u.
- Fermi-level density of states: 1.229 states/eV per atom



The following is a PBE calculation of an optimized crystal structure of Na2HfBr, from Alexandria.

Cell: 8.9252 8.9252 6.9036 Å, 49.73 49.73 90.00°
Site moments in Bohr magnetons follow the coordinates.
Positions (direct):
Na (0.1758, 0.6250, 0.2500)  0.00
Na (0.5742, 0.1250, 0.2500)  0.00
Na (0.3750, 0.4258, 0.7500)  0.00
Na (0.8750, 0.8242, 0.7500)  0.00
Br (0.5000, 0.5000, 0.0000)  0.00
Br (0.2500, 0.7500, 0.5000)  0.00
Hf (0.0000, 0.0000, 0.0000)  0.57
Hf (0.7500, 0.2500, 0.5000)  0.57

Properties
- E: -25.6 eV for the cell shown
- Formation energy without anion corrections: 1.482 eV/f.u.
- Fermi-level density of states: 0.787 states/eV per atom



The following is a PBE calculation of an optimized crystal structure of Na3HfBr, from Alexandria.

Cell: 6.3524 6.3524 6.3524 Å, 90.00 90.00 90.00°
Site moments in Bohr magnetons follow the coordinates.
Positions (direct):
Na (0.0000, 0.0000, 0.5000)  0.04
Na (0.0000, 0.5000, 0.0000)  0.06
Na (0.5000, 0.0000, 0.0000)  0.09
Br (0.5000, 0.5000, 0.5000)  0.04
Hf (0.0000, 0.0000, 0.0000)  1.70

Properties
- E: -10.9 eV for the cell shown
- Formation energy without anion corrections: 4.689 eV/f.u.
- Fermi-level density of states: 3.516 states/eV per atom



The following is a PBE calculation of an optimized crystal structure of NaHf3Br, from Alexandria.

Cell: 5.0798 5.0798 5.0798 Å, 90.00 90.00 90.00°
Positions (direct):
Br (0.5000, 0.5000, 0.5000)
Hf (0.5000, 0.0000, 0.0000)
Hf (0.0000, 0.5000, 0.0000)
Hf (0.0000, 0.0000, 0.5000)
Na (0.0000, 0.0000, 0.0000)

Properties
- E: -24.4 eV for the cell shown
- Formation energy without anion corrections: 8.472 eV/f.u.
- Fermi-level density of states: 1.395 states/eV per atom



The following is a PBE calculation of an optimized crystal structure of Na2HfNbBr, from Alexandria.

Cell: 6.2708 5.0253 6.2708 Å, 90.00 90.00 90.00°
Site moments in Bohr magnetons follow the coordinates.
Positions (direct):
Nb (0.5000, 0.5000, 0.5000)  3.08
Br (0.0000, 0.5000, 0.0000)  0.02
Hf (0.0000, 0.0000, 0.0000)  1.06
Na (0.5000, 0.0000, 0.0000)  0.03
Na (0.0000, 0.0000, 0.5000)  0.03

Properties
- E: -17.0 eV for the cell shown
- Formation energy without anion corrections: 7.359 eV/f.u.
- Fermi-level density of states: 1.585 states/eV per atom



The following is a PBE calculation of an optimized crystal structure of NaHfBrO2, from Alexandria.

Cell: 4.0057 10.2882 4.0057 Å, 90.00 90.00 90.00°
Positions (direct):
O (0.5000, 0.0000, 0.0000)
O (0.0000, 0.0000, 0.5000)
Hf (0.0000, 0.0000, 0.0000)
Br (0.5000, 0.5000, 0.5000)
Na (0.0000, 0.5000, 0.0000)

Properties
- E: -32.7 eV for the cell shown
- Formation energy without anion corrections: -9.825 eV/f.u.
- Fermi-level density of states: 0.016 states/eV per atom



The following is a PBE calculation of an optimized crystal structure of NaHfPdBr2, from Alexandria.

Cell: 4.9200 5.1992 4.9200 Å, 90.00 90.00 90.00°
Site moments in Bohr magnetons follow the coordinates.
Positions (direct):
Br (0.0000, 0.0000, 0.5000)  -0.01
Br (0.5000, 0.0000, 0.0000)  -0.01
Pd (0.0000, 0.5000, 0.0000)  -0.01
Na (0.0000, 0.0000, 0.0000)  0.00
Hf (0.5000, 0.5000, 0.5000)  0.56

Properties
- E: -17.5 eV for the cell shown
- Formation energy without anion corrections: 2.263 eV/f.u.
- Fermi-level density of states: 0.637 states/eV per atom



The following is a PBE calculation of an optimized crystal structure of RbNa2HfBr8, from Alexandria.

Cell: 7.0645 6.1638 9.7273 Å, 89.84 89.98 91.56°
Site moments in Bohr magnetons follow the coordinates.
Positions (direct):
Br (0.1446, 0.7610, 0.8064)  0.00
Br (0.6848, 0.7615, 0.9994)  0.00
Br (0.4866, 0.2497, 0.5001)  0.08
Br (0.1429, 0.7593, 0.1943)  0.00
Br (0.3152, 0.2385, 0.0006)  0.00
Br (0.5134, 0.7503, 0.4999)  0.08
Br (0.8554, 0.2390, 0.1936)  0.00
Br (0.8571, 0.2407, 0.8057)  0.00
Na (0.5001, 0.4994, 0.7758)  0.00
Na (0.4999, 0.5006, 0.2242)  0.00
Rb (0.0000, 0.0000, 0.5000)  0.00
Hf (0.0000, 0.0000, 0.0000)  0.00

Properties
- E: -43.3 eV for the cell shown
- Formation energy without anion corrections: -16.329 eV/f.u.
- Fermi-level density of states: 0.128 states/eV per atom



The following is a PBE calculation of an optimized crystal structure of NaHfSeBr2, from Alexandria.

Cell: 5.3379 5.3379 5.1898 Å, 90.00 90.00 90.00°
Positions (direct):
Se (0.0000, 0.0000, 0.5000)
Hf (0.0000, 0.0000, 0.0000)
Na (0.5000, 0.5000, 0.5000)
Br (0.5000, 0.0000, 0.0000)
Br (0.0000, 0.5000, 0.0000)

Properties
- E: -23.1 eV for the cell shown
- Formation energy without anion corrections: -5.026 eV/f.u.
- Fermi-level density of states: 0.321 states/eV per atom



The following is a PBE calculation of an optimized crystal structure of NaHf2SeBr, from Alexandria.

Cell: 4.9506 5.2008 4.9506 Å, 90.00 90.00 90.00°
Positions (direct):
Se (0.5000, 0.5000, 0.5000)
Hf (0.5000, 0.0000, 0.0000)
Hf (0.0000, 0.0000, 0.5000)
Br (0.0000, 0.0000, 0.0000)
Na (0.0000, 0.5000, 0.0000)

Properties
- E: -23.4 eV for the cell shown
- Formation energy without anion corrections: 2.962 eV/f.u.
- Fermi-level density of states: 0.999 states/eV per atom